The following is a PBE calculation of crystalline Y4BiPd at its relaxed geometry, from Alexandria via LeMat-Bulk.

Output
**Volume**: 28.69 A^3/atom
**Polymorph energy (0 for the lowest one)**: 0.000 eV per atom
**SG**: P2_1/m
**Density of states at the Fermi level**: 12.36 states/eV/cell
**VASP energy**: -6.4026 eV per atom
**ΔE_f**: -3.5 eV per formula unit

Cell and atoms, written as CIF:
```
data_Y4BiPd
_chemical_formula_sum 'Y8 Bi2 Pd2'
_symmetry_space_group_name_H-M 'P 1'
_symmetry_Int_Tables_number 1
_symmetry_space_group_name_Hall 'P 1'
_cell_length_a 6.2122
_cell_length_b 6.6900
_cell_length_c 8.8124
_cell_angle_alpha 90.00
_cell_angle_beta 109.96
_cell_angle_gamma 90.00
loop_
_atom_site_label
_atom_site_type_symbol
_atom_site_fract_x
_atom_site_fract_y
_atom_site_fract_z
_atom_site_occupancy
Bi1 Bi 0.2027 0.2500 0.0452 1
Bi2 Bi 0.7973 0.7500 0.9548 1
Y1 Y 0.5686 0.2500 0.4013 1
Y2 Y 0.3944 0.7500 0.1104 1
Y3 Y 0.0035 0.5009 0.7078 1
Y4 Y 0.0035 0.9991 0.7078 1
Y5 Y 0.9965 0.0009 0.2922 1
Y6 Y 0.6056 0.2500 0.8896 1
Y7 Y 0.9965 0.4991 0.2922 1
Y8 Y 0.4314 0.7500 0.5987 1
Pd1 Pd 0.7355 0.7500 0.4297 1
Pd2 Pd 0.2645 0.2500 0.5703 1
```